(A)
# FeNi4Rh PBE relaxed
data_FeNi4Rh
_cell_length_a 4.049
_cell_length_b 4.049
_cell_length_c 5.005
_cell_angle_alpha 90.00
_cell_angle_beta 90.00
_cell_angle_gamma 120.00
_space_group_name_H-M_alt 'P 1'
_space_group_IT_number 1
loop_
_space_group_symop_operation_xyz
'x,y,z'
loop_
_atom_site_label
_atom_site_type_symbol
_atom_site_fract_x
_atom_site_fract_y
_atom_site_fract_z
Fe1 Fe 0.000 0.000 0.000
Ni1 Ni 0.333 0.667 0.246
Ni2 Ni 0.333 0.667 0.754
Ni3 Ni 0.667 0.333 0.246
Ni4 Ni 0.667 0.333 0.754
Rh1 Rh 0.000 0.000 0.500
# Magnetization = 6.35 μB/cell
# DOS(E_F) = 8.63 states/eV/f.u.

=====

(B)
# FeNi4Rh PBE relaxed
data_FeNi4Rh
_cell_length_a 4.659
_cell_length_b 4.659
_cell_length_c 4.659
_cell_angle_alpha 60.00
_cell_angle_beta 60.00
_cell_angle_gamma 60.00
_space_group_name_H-M_alt 'P 1'
_space_group_IT_number 1
loop_
_space_group_symop_operation_xyz
'x,y,z'
loop_
_atom_site_label
_atom_site_type_symbol
_atom_site_fract_x
_atom_site_fract_y
_atom_site_fract_z
Fe1 Fe 0.000 0.000 0.000
Ni1 Ni 0.375 0.375 0.375
Ni2 Ni 0.375 0.375 0.875
Ni3 Ni 0.375 0.875 0.375
Ni4 Ni 0.875 0.375 0.375
Rh1 Rh 0.750 0.750 0.750
# Magnetization = 6.13 μB/cell
# DOS(E_F) = 7.88 states/eV/f.u.

=====

Unit: eV/atom. Relative energies: (A) 0.000; (B) 0.036.

=====

(A)
# Fe2Ni3Rh PBE relaxed
data_Fe2Ni3Rh
_cell_length_a 7.412
_cell_length_b 7.412
_cell_length_c 7.412
_cell_angle_alpha 117.52
_cell_angle_beta 117.52
_cell_angle_gamma 94.35
_space_group_name_H-M_alt 'P 1'
_space_group_IT_number 1
loop_
_space_group_symop_operation_xyz
'x,y,z'
loop_
_atom_site_label
_atom_site_type_symbol
_atom_site_fract_x
_atom_site_fract_y
_atom_site_fract_z
Fe1 Fe 0.277 0.354 0.578
Fe2 Fe 0.277 0.699 0.922
Fe3 Fe 0.301 0.723 0.578
Fe4 Fe 0.354 0.277 0.078
Fe5 Fe 0.646 0.723 0.922
Fe6 Fe 0.699 0.277 0.422
Fe7 Fe 0.723 0.301 0.078
Fe8 Fe 0.723 0.646 0.422
Ni1 Ni 0.000 0.500 0.500
Ni2 Ni 0.087 0.337 0.174
Ni3 Ni 0.087 0.913 0.750
Ni4 Ni 0.337 0.087 0.674
Ni5 Ni 0.337 0.663 0.250
Ni6 Ni 0.500 0.000 0.000
Ni7 Ni 0.500 0.500 0.000
Ni8 Ni 0.500 0.500 0.500
Ni9 Ni 0.663 0.337 0.750
Ni10 Ni 0.663 0.913 0.326
Ni11 Ni 0.913 0.087 0.250
Ni12 Ni 0.913 0.663 0.826
Rh1 Rh 0.049 0.299 0.750
Rh2 Rh 0.299 0.049 0.250
Rh3 Rh 0.701 0.951 0.750
Rh4 Rh 0.951 0.701 0.250
# Magnetization = 33.50 μB/cell
# DOS(E_F) = 6.59 states/eV/f.u.

=====

(B)
# Fe2Ni3Rh PBE relaxed
data_Fe2Ni3Rh
_cell_length_a 5.722
_cell_length_b 5.722
_cell_length_c 3.644
_cell_angle_alpha 90.00
_cell_angle_beta 90.00
_cell_angle_gamma 143.16
_space_group_name_H-M_alt 'P 1'
_space_group_IT_number 1
loop_
_space_group_symop_operation_xyz
'x,y,z'
loop_
_atom_site_label
_atom_site_type_symbol
_atom_site_fract_x
_atom_site_fract_y
_atom_site_fract_z
Fe1 Fe 0.167 0.833 0.000
Fe2 Fe 0.833 0.167 0.000
Ni1 Ni 0.000 0.000 0.500
Ni2 Ni 0.331 0.669 0.500
Ni3 Ni 0.669 0.331 0.500
Rh1 Rh 0.500 0.500 0.000
# Magnetization = 8.46 μB/cell
# DOS(E_F) = 5.42 states/eV/f.u.

=====

Unit: eV/atom. Relative energies: (A) 0.167; (B) 0.000.

=====

(A)
# Fe5Ni4Rh2 PBE relaxed
data_Fe5Ni4Rh2
_cell_length_a 6.117
_cell_length_b 16.993
_cell_length_c 2.605
_cell_angle_alpha 90.00
_cell_angle_beta 90.00
_cell_angle_gamma 90.00
_space_group_name_H-M_alt 'P 1'
_space_group_IT_number 1
loop_
_space_group_symop_operation_xyz
'x,y,z'
loop_
_atom_site_label
_atom_site_type_symbol
_atom_site_fract_x
_atom_site_fract_y
_atom_site_fract_z
Fe1 Fe 0.000 0.000 0.000
Fe2 Fe 0.165 0.416 0.000
Fe3 Fe 0.179 0.666 0.000
Fe4 Fe 0.321 0.166 0.000
Fe5 Fe 0.335 0.916 0.000
Fe6 Fe 0.500 0.500 0.000
Fe7 Fe 0.665 0.084 0.000
Fe8 Fe 0.679 0.834 0.000
Fe9 Fe 0.821 0.334 0.000
Fe10 Fe 0.835 0.584 0.000
Ni1 Ni 0.009 0.870 0.500
Ni2 Ni 0.167 0.542 0.500
Ni3 Ni 0.333 0.042 0.500
Ni4 Ni 0.491 0.370 0.500
Ni5 Ni 0.509 0.630 0.500
Ni6 Ni 0.667 0.958 0.500
Ni7 Ni 0.833 0.458 0.500
Ni8 Ni 0.991 0.130 0.500
Rh1 Rh 0.151 0.281 0.500
Rh2 Rh 0.349 0.781 0.500
Rh3 Rh 0.651 0.219 0.500
Rh4 Rh 0.849 0.719 0.500
# Magnetization = 34.67 μB/cell
# DOS(E_F) = 11.48 states/eV/f.u.

=====

(B)
# Fe5Ni4Rh2 PBE relaxed
data_Fe5Ni4Rh2
_cell_length_a 5.058
_cell_length_b 5.058
_cell_length_c 7.195
_cell_angle_alpha 116.07
_cell_angle_beta 116.07
_cell_angle_gamma 61.51
_space_group_name_H-M_alt 'P 1'
_space_group_IT_number 1
loop_
_space_group_symop_operation_xyz
'x,y,z'
loop_
_atom_site_label
_atom_site_type_symbol
_atom_site_fract_x
_atom_site_fract_y
_atom_site_fract_z
Fe1 Fe 0.000 0.000 0.000
Fe2 Fe 0.101 0.545 0.331
Fe3 Fe 0.455 0.899 0.669
Fe4 Fe 0.545 0.101 0.331
Fe5 Fe 0.899 0.455 0.669
Ni1 Ni 0.067 0.067 0.360
Ni2 Ni 0.266 0.266 0.975
Ni3 Ni 0.734 0.734 0.025
Ni4 Ni 0.933 0.933 0.640
Rh1 Rh 0.427 0.427 0.716
Rh2 Rh 0.573 0.573 0.284
# Magnetization = 18.03 μB/cell
# DOS(E_F) = 9.95 states/eV/f.u.

=====

Unit: eV/atom. Relative energies: (A) 0.000; (B) 0.073.

=====

(A)
# Fe2Ni2Rh PBE relaxed
data_Fe2Ni2Rh
_cell_length_a 6.663
_cell_length_b 6.663
_cell_length_c 2.628
_cell_angle_alpha 90.00
_cell_angle_beta 90.00
_cell_angle_gamma 90.00
_space_group_name_H-M_alt 'P 1'
_space_group_IT_number 1
loop_
_space_group_symop_operation_xyz
'x,y,z'
loop_
_atom_site_label
_atom_site_type_symbol
_atom_site_fract_x
_atom_site_fract_y
_atom_site_fract_z
Fe1 Fe 0.115 0.385 0.000
Fe2 Fe 0.385 0.885 0.000
Fe3 Fe 0.615 0.115 0.000
Fe4 Fe 0.885 0.615 0.000
Ni1 Ni 0.178 0.678 0.500
Ni2 Ni 0.322 0.178 0.500
Ni3 Ni 0.678 0.822 0.500
Ni4 Ni 0.822 0.322 0.500
Rh1 Rh 0.000 0.000 0.000
Rh2 Rh 0.500 0.500 0.000
# Magnetization = 0.00 μB/cell
# DOS(E_F) = 12.27 states/eV/f.u.

=====

(B)
# Fe2Ni2Rh PBE relaxed
data_Fe2Ni2Rh
_cell_length_a 6.741
_cell_length_b 6.741
_cell_length_c 2.709
_cell_angle_alpha 90.00
_cell_angle_beta 90.00
_cell_angle_gamma 90.00
_space_group_name_H-M_alt 'P 1'
_space_group_IT_number 1
loop_
_space_group_symop_operation_xyz
'x,y,z'
loop_
_atom_site_label
_atom_site_type_symbol
_atom_site_fract_x
_atom_site_fract_y
_atom_site_fract_z
Fe1 Fe 0.172 0.328 0.000
Fe2 Fe 0.328 0.828 0.000
Fe3 Fe 0.672 0.172 0.000
Fe4 Fe 0.828 0.672 0.000
Ni1 Ni 0.126 0.626 0.500
Ni2 Ni 0.374 0.126 0.500
Ni3 Ni 0.626 0.874 0.500
Ni4 Ni 0.874 0.374 0.500
Rh1 Rh 0.000 0.000 0.500
Rh2 Rh 0.500 0.500 0.500
# Magnetization = 15.06 μB/cell
# DOS(E_F) = 3.45 states/eV/f.u.

=====

Unit: eV/atom. Relative energies: (A) 0.298; (B) 0.000.

=====

(A)
# Fe2Ni6Rh PBE relaxed
data_Fe2Ni6Rh
_cell_length_a 7.139
_cell_length_b 7.139
_cell_length_c 2.509
_cell_angle_alpha 99.95
_cell_angle_beta 99.95
_cell_angle_gamma 57.53
_space_group_name_H-M_alt 'P 1'
_space_group_IT_number 1
loop_
_space_group_symop_operation_xyz
'x,y,z'
loop_
_atom_site_label
_atom_site_type_symbol
_atom_site_fract_x
_atom_site_fract_y
_atom_site_fract_z
Fe1 Fe 0.150 0.150 0.149
Fe2 Fe 0.850 0.850 0.851
Ni1 Ni 0.149 0.502 0.326
Ni2 Ni 0.171 0.829 0.500
Ni3 Ni 0.498 0.851 0.674
Ni4 Ni 0.502 0.149 0.326
Ni5 Ni 0.829 0.171 0.500
Ni6 Ni 0.851 0.498 0.674
Rh1 Rh 0.500 0.500 0.000
# Magnetization = 9.91 μB/cell
# DOS(E_F) = 10.89 states/eV/f.u.

=====

(B)
# Fe2Ni6Rh PBE relaxed
data_Fe2Ni6Rh
_cell_length_a 4.415
_cell_length_b 4.415
_cell_length_c 7.607
_cell_angle_alpha 107.32
_cell_angle_beta 107.32
_cell_angle_gamma 47.92
_space_group_name_H-M_alt 'P 1'
_space_group_IT_number 1
loop_
_space_group_symop_operation_xyz
'x,y,z'
loop_
_atom_site_label
_atom_site_type_symbol
_atom_site_fract_x
_atom_site_fract_y
_atom_site_fract_z
Fe1 Fe 0.172 0.172 0.231
Fe2 Fe 0.828 0.828 0.769
Ni1 Ni 0.165 0.165 0.553
Ni2 Ni 0.166 0.166 0.885
Ni3 Ni 0.499 0.499 0.337
Ni4 Ni 0.501 0.501 0.663
Ni5 Ni 0.834 0.834 0.115
Ni6 Ni 0.835 0.835 0.447
Rh1 Rh 0.500 0.500 0.000
# Magnetization = 10.21 μB/cell
# DOS(E_F) = 9.35 states/eV/f.u.

=====

Unit: eV/atom. Relative energies: (A) 0.109; (B) 0.000.

=====

(A)
# TaFeNiRh PBE relaxed
data_TaFeNiRh
_cell_length_a 4.263
_cell_length_b 4.263
_cell_length_c 4.263
_cell_angle_alpha 60.00
_cell_angle_beta 60.00
_cell_angle_gamma 60.00
_space_group_name_H-M_alt 'P 1'
_space_group_IT_number 1
loop_
_space_group_symop_operation_xyz
'x,y,z'
loop_
_atom_site_label
_atom_site_type_symbol
_atom_site_fract_x
_atom_site_fract_y
_atom_site_fract_z
Ta1 Ta 0.000 0.000 0.000
Fe1 Fe 0.250 0.250 0.250
Ni1 Ni 0.500 0.500 0.500
Rh1 Rh 0.750 0.750 0.750
# Magnetization = 1.86 μB/cell
# DOS(E_F) = 4.24 states/eV/f.u.

=====

(B)
# TaFeNiRh PBE relaxed
data_TaFeNiRh
_cell_length_a 3.750
_cell_length_b 3.758
_cell_length_c 3.808
_cell_angle_alpha 90.00
_cell_angle_beta 90.00
_cell_angle_gamma 90.00
_space_group_name_H-M_alt 'P 1'
_space_group_IT_number 1
loop_
_space_group_symop_operation_xyz
'x,y,z'
loop_
_atom_site_label
_atom_site_type_symbol
_atom_site_fract_x
_atom_site_fract_y
_atom_site_fract_z
Ta1 Ta 0.000 0.000 0.000
Fe1 Fe 0.500 0.500 0.000
Ni1 Ni 0.000 0.500 0.500
Rh1 Rh 0.500 0.000 0.500
# Magnetization = 1.75 μB/cell
# DOS(E_F) = 1.61 states/eV/f.u.

=====

Unit: eV/atom. Relative energies: (A) 0.196; (B) 0.000.